VASP calculation (GGA-PBE) on an optimized crystal structure of ZnCoSn2.

Unit cell a=3.3319 b=3.3319 c=26.1915 alpha=90.00 beta=90.00 gamma=120.00
Space group R-3m (No. 166, hexagonal axes)
Inequivalent atoms, fractional coordinates:
Zn  0.0000  0.0000  0.0000
Co  0.0000  0.0000  0.5000
Sn  0.0000  0.0000  0.1006

- Density: 7.2 g cm⁻³
- E_tot: -47.31 eV for the cell shown
- Crystal system: trigonal
- Energy of formation from the pure elements: 154 meV/atom
- V: 84 Å³/f.u.